# 1
Entry from the Alexandria database: a relaxed Sr2CrTc crystal (PBE).

abc: 5.5939 5.5939 5.5939
angles: 125.59 125.59 80.56
Fractional coordinates of all 4 atoms:
1 Sr 0.2500 0.7500 0.5000
2 Sr 0.7500 0.2500 0.5000
3 Cr 0.0000 0.0000 0.0000
4 Tc 0.5000 0.5000 0.0000

Calculated density ... 4.837 Mg/m³
Raw total energy ... -19.29 eV/cell
Total magnetization ... 2.902 μB per cell

=====

# 2
Entry from the Alexandria database: a relaxed SrCrTc2 crystal (PBE).

abc: 4.7988 4.7988 5.9045
angles: 104.30 104.30 36.92
Fractional coordinates of all 4 atoms:
1 Sr 0.0000 0.0000 0.0000
2 Cr 0.5000 0.5000 0.5000
3 Tc 0.2077 0.2077 0.6456
4 Tc 0.7923 0.7923 0.3544

Calculated density ... 7.068 Mg/m³
Raw total energy ... -29.35 eV/cell
Total magnetization ... 0.003 μB per cell

=====

# 3
Entry from the Alexandria database: a relaxed SrCrTc2 crystal (PBE).

abc: 5.7050 5.7050 5.7050
angles: 147.66 126.47 63.94
Fractional coordinates of all 4 atoms:
1 Sr 0.0000 0.0000 0.0000
2 Cr 0.7101 0.2101 0.5000
3 Tc 0.2836 0.7836 0.5000
4 Tc 0.4729 0.4729 0.0000

Calculated density ... 7.053 Mg/m³
Raw total energy ... -28.58 eV/cell
Total magnetization ... 2.740 μB per cell

=====

# 4
Entry from the Alexandria database: a relaxed Sr2CrTc crystal (PBE).

abc: 6.3762 6.3762 6.3762
angles: 145.70 129.18 62.75
Fractional coordinates of all 4 atoms:
1 Sr 0.0000 0.0000 0.0000
2 Sr 0.7095 0.2095 0.5000
3 Cr 0.4097 0.4097 0.0000
4 Tc 0.2912 0.7912 0.5000

Calculated density ... 4.822 Mg/m³
Raw total energy ... -21.05 eV/cell
Total magnetization ... 1.955 μB per cell

=====

# 5
Entry from the Alexandria database: a relaxed SrCr2Tc crystal (PBE).

abc: 6.2625 6.2625 6.2625
angles: 38.87 38.87 38.87
Fractional coordinates of all 4 atoms:
1 Sr 0.0000 0.0000 0.0000
2 Cr 0.4964 0.4964 0.4964
3 Cr 0.8077 0.8077 0.8077
4 Tc 0.1932 0.1932 0.1932

Calculated density ... 5.529 Mg/m³
Raw total energy ... -28.94 eV/cell
Total magnetization ... 1.428 μB per cell

=====

# 6
Entry from the Alexandria database: a relaxed Sr2CrTc crystal (PBE).

abc: 5.0087 5.0087 4.4306
angles: 90.00 90.00 90.00
Fractional coordinates of all 4 atoms:
1 Sr 0.0000 0.5000 0.0000
2 Sr 0.5000 0.0000 0.0000
3 Cr 0.0000 0.0000 0.5000
4 Tc 0.5000 0.5000 0.5000

Calculated density ... 4.859 Mg/m³
Raw total energy ... -19.21 eV/cell
Total magnetization ... 2.735 μB per cell

=====

# 7
Entry from the Alexandria database: a relaxed SrCr2Tc crystal (PBE).

abc: 2.9856 3.9159 6.8133
angles: 90.00 101.33 90.00
Fractional coordinates of all 4 atoms:
1 Sr 0.0000 0.0000 0.0000
2 Cr 0.4451 0.5000 0.6412
3 Cr 0.5549 0.5000 0.3588
4 Tc 0.0000 0.0000 0.5000

Calculated density ... 6.157 Mg/m³
Raw total energy ... -28.66 eV/cell
Total magnetization ... 0.000 μB per cell

=====

# 8
Entry from the Alexandria database: a relaxed Sr2CrTc crystal (PBE).

abc: 3.4169 3.4169 9.3458
angles: 90.00 90.00 90.00
Fractional coordinates of all 4 atoms:
1 Sr 0.0000 0.0000 0.0000
2 Sr 0.5000 0.5000 0.3973
3 Cr 0.5000 0.5000 0.7404
4 Tc 0.0000 0.0000 0.6558

Calculated density ... 4.950 Mg/m³
Raw total energy ... -21.22 eV/cell
Total magnetization ... 1.694 μB per cell

=====

# 9
Entry from the Alexandria database: a relaxed SrCr4Tc crystal (PBE).

abc: 5.0390 5.0390 5.0390
angles: 60.00 60.00 60.00
Fractional coordinates of all 6 atoms:
1 Sr 0.0000 0.0000 0.0000
2 Cr 0.3762 0.3762 0.3762
3 Cr 0.3762 0.3762 0.8715
4 Cr 0.3762 0.8715 0.3762
5 Cr 0.8715 0.3762 0.3762
6 Tc 0.7500 0.7500 0.7500

Calculated density ... 7.224 Mg/m³
Raw total energy ... -45.96 eV/cell
Total magnetization ... 0.005 μB per cell

=====

# 10
Entry from the Alexandria database: a relaxed SrCrTc2 crystal (PBE).

abc: 3.1012 3.1012 7.6198
angles: 90.00 90.00 90.00
Fractional coordinates of all 4 atoms:
1 Sr 0.0000 0.0000 0.0000
2 Cr 0.0000 0.0000 0.5000
3 Tc 0.5000 0.5000 0.3297
4 Tc 0.5000 0.5000 0.6703

Calculated density ... 7.605 Mg/m³
Raw total energy ... -29.78 eV/cell
Total magnetization ... 0.000 μB per cell

=====

# 11
Entry from the Alexandria database: a relaxed SrCrTc2 crystal (PBE).

abc: 2.9929 3.6898 7.0820
angles: 90.00 100.12 90.00
Fractional coordinates of all 4 atoms:
1 Sr 0.0000 0.0000 0.0000
2 Cr 0.0000 0.0000 0.5000
3 Tc 0.3869 0.5000 0.6648
4 Tc 0.6131 0.5000 0.3352

Calculated density ... 7.239 Mg/m³
Raw total energy ... -29.40 eV/cell
Total magnetization ... 0.001 μB per cell

=====

# 12
Entry from the Alexandria database: a relaxed SrCr2Tc crystal (PBE).

abc: 4.8761 4.8761 3.1553
angles: 90.00 90.00 90.00
Fractional coordinates of all 4 atoms:
1 Sr 0.0000 0.0000 0.0000
2 Cr 0.0000 0.5000 0.5000
3 Cr 0.5000 0.0000 0.5000
4 Tc 0.5000 0.5000 0.0000

Calculated density ... 6.410 Mg/m³
Raw total energy ... -26.78 eV/cell
Total magnetization ... 5.265 μB per cell

=====

# 13
Entry from the Alexandria database: a relaxed Sr2CrTc crystal (PBE).

abc: 3.8952 6.4936 6.4936
angles: 46.46 90.00 90.00
Fractional coordinates of all 4 atoms:
1 Sr 0.0000 0.0000 0.0000
2 Sr 0.5000 0.2806 0.2806
3 Cr 0.5000 0.5913 0.5913
4 Tc 0.0000 0.6939 0.6939

Calculated density ... 4.536 Mg/m³
Raw total energy ... -21.14 eV/cell
Total magnetization ... 2.413 μB per cell

=====

# 14
Entry from the Alexandria database: a relaxed SrCr2Tc crystal (PBE).

abc: 4.5193 4.5193 4.5193
angles: 60.00 60.00 60.00
Fractional coordinates of all 4 atoms:
1 Sr 0.0000 0.0000 0.0000
2 Cr 0.2500 0.2500 0.2500
3 Cr 0.7500 0.7500 0.7500
4 Tc 0.5000 0.5000 0.5000

Calculated density ... 7.368 Mg/m³
Raw total energy ... -26.58 eV/cell
Total magnetization ... 0.000 μB per cell

=====

# 15
Entry from the Alexandria database: a relaxed SrCrTc2 crystal (PBE).

abc: 8.7440 8.7440 8.7440
angles: 147.43 147.43 46.73
Fractional coordinates of all 8 atoms:
1 Sr 0.3750 0.6250 0.7500
2 Sr 0.6250 0.3750 0.2500
3 Cr 0.1250 0.8750 0.2500
4 Cr 0.8750 0.1250 0.7500
5 Tc 0.0000 0.0000 0.0000
6 Tc 0.0000 0.0000 0.5000
7 Tc 0.0000 0.5000 0.0000
8 Tc 0.5000 0.0000 0.5000

Calculated density ... 5.775 Mg/m³
Raw total energy ... -55.82 eV/cell
Total magnetization ... 0.000 μB per cell

=====

# 16
Entry from the Alexandria database: a relaxed Sr2CrTc crystal (PBE).

abc: 3.5691 3.5691 8.8551
angles: 90.00 90.00 90.00
Fractional coordinates of all 4 atoms:
1 Sr 0.0000 0.0000 0.2280
2 Sr 0.0000 0.0000 0.7720
3 Cr 0.5000 0.5000 0.5000
4 Tc 0.5000 0.5000 0.0000

Calculated density ... 4.788 Mg/m³
Raw total energy ... -19.33 eV/cell
Total magnetization ... 6.548 μB per cell

=====

# 17
Entry from the Alexandria database: a relaxed SrCr2Tc crystal (PBE).

abc: 3.1880 3.1880 7.3574
angles: 90.00 90.00 90.00
Fractional coordinates of all 4 atoms:
1 Sr 0.0000 0.0000 0.0000
2 Cr 0.0000 0.0000 0.5104
3 Cr 0.5000 0.5000 0.6488
4 Tc 0.5000 0.5000 0.3458

Calculated density ... 6.431 Mg/m³
Raw total energy ... -28.59 eV/cell
Total magnetization ... 0.002 μB per cell

=====

# 18
Entry from the Alexandria database: a relaxed Sr4CrTc crystal (PBE).

abc: 6.8951 6.8951 6.8951
angles: 60.00 60.00 60.00
Fractional coordinates of all 6 atoms:
1 Sr 0.1243 0.1243 0.1243
2 Sr 0.1243 0.1243 0.6271
3 Sr 0.1243 0.6271 0.1243
4 Sr 0.6271 0.1243 0.1243
5 Cr 0.5000 0.5000 0.5000
6 Tc 0.7500 0.7500 0.7500

Calculated density ... 3.585 Mg/m³
Raw total energy ... -18.42 eV/cell
Total magnetization ... 2.866 μB per cell

=====

# 19
Entry from the Alexandria database: a relaxed SrCr2Tc crystal (PBE).

abc: 5.6597 5.6597 5.6597
angles: 147.37 125.51 64.97
Fractional coordinates of all 4 atoms:
1 Sr 0.0000 0.0000 0.0000
2 Cr 0.4560 0.4560 0.0000
3 Cr 0.7089 0.2089 0.5000
4 Tc 0.2858 0.7858 0.5000

Calculated density ... 6.114 Mg/m³
Raw total energy ... -27.72 eV/cell
Total magnetization ... 2.538 μB per cell

=====

# 20
Entry from the Alexandria database: a relaxed SrCrTc2 crystal (PBE).

abc: 3.1518 4.7202 4.7971
angles: 90.00 90.00 90.00
Fractional coordinates of all 4 atoms:
1 Sr 0.0000 0.0000 0.0000
2 Cr 0.5000 0.5000 0.0000
3 Tc 0.0000 0.5000 0.5000
4 Tc 0.5000 0.0000 0.5000

Calculated density ... 7.809 Mg/m³
Raw total energy ... -27.78 eV/cell
Total magnetization ... 1.912 μB per cell

=====

# 21
Entry from the Alexandria database: a relaxed SrCr2Tc crystal (PBE).

abc: 2.7990 2.7990 9.1709
angles: 90.00 90.00 109.71
Fractional coordinates of all 4 atoms:
1 Sr 0.0000 0.0000 0.0000
2 Cr 0.5000 0.5000 0.2975
3 Cr 0.5000 0.5000 0.7025
4 Tc 0.0000 0.0000 0.5000

Calculated density ... 7.110 Mg/m³
Raw total energy ... -27.39 eV/cell
Total magnetization ... 0.001 μB per cell

=====

# 22
Entry from the Alexandria database: a relaxed SrCrTc2 crystal (PBE).

abc: 4.6448 4.6448 4.6448
angles: 60.00 60.00 60.00
Fractional coordinates of all 4 atoms:
1 Sr 0.0000 0.0000 0.0000
2 Cr 0.7500 0.7500 0.7500
3 Tc 0.2500 0.2500 0.2500
4 Tc 0.5000 0.5000 0.5000

Calculated density ... 7.865 Mg/m³
Raw total energy ... -28.20 eV/cell
Total magnetization ... 1.973 μB per cell

=====

# 23
Entry from the Alexandria database: a relaxed SrCr2Tc crystal (PBE).

abc: 5.6921 5.6921 5.6921
angles: 146.33 122.92 67.94
Fractional coordinates of all 4 atoms:
1 Sr 0.0000 0.0000 0.0000
2 Cr 0.3055 0.8055 0.5000
3 Cr 0.6945 0.1945 0.5000
4 Tc 0.5000 0.5000 0.0000

Calculated density ... 5.680 Mg/m³
Raw total energy ... -27.53 eV/cell
Total magnetization ... 5.628 μB per cell

=====

# 24
Entry from the Alexandria database: a relaxed Sr2CrTc crystal (PBE).

abc: 5.1850 5.1850 5.1850
angles: 60.00 60.00 60.00
Fractional coordinates of all 4 atoms:
1 Sr 0.2500 0.2500 0.2500
2 Sr 0.7500 0.7500 0.7500
3 Cr 0.0000 0.0000 0.0000
4 Tc 0.5000 0.5000 0.5000

Calculated density ... 5.479 Mg/m³
Raw total energy ... -16.96 eV/cell
Total magnetization ... 0.001 μB per cell

=====

# 25
Entry from the Alexandria database: a relaxed Sr2CrTc crystal (PBE).

abc: 6.8045 6.8045 6.8045
angles: 102.02 102.02 125.69
Fractional coordinates of all 8 atoms:
1 Sr 0.1082 0.1250 0.4832
2 Sr 0.3750 0.8918 0.0168
3 Sr 0.6418 0.6250 0.5168
4 Sr 0.8750 0.3582 0.9832
5 Cr 0.2500 0.7500 0.5000
6 Cr 0.5000 0.5000 0.0000
7 Tc 0.0000 0.0000 0.0000
8 Tc 0.7500 0.2500 0.5000

Calculated density ... 4.744 Mg/m³
Raw total energy ... -36.59 eV/cell
Total magnetization ... 5.653 μB per cell

=====

# 26
Entry from the Alexandria database: a relaxed SrCrTc2 crystal (PBE).

abc: 3.1354 3.1354 7.9778
angles: 90.00 90.00 90.00
Fractional coordinates of all 4 atoms:
1 Sr 0.0000 0.0000 0.0000
2 Cr 0.5000 0.5000 0.6634
3 Tc 0.0000 0.0000 0.4716
4 Tc 0.5000 0.5000 0.3020

Calculated density ... 7.106 Mg/m³
Raw total energy ... -29.74 eV/cell
Total magnetization ... 3.587 μB per cell

=====

# 27
Entry from the Alexandria database: a relaxed SrCrTc2 crystal (PBE).

abc: 5.5301 5.5301 2.7784
angles: 90.00 90.00 121.65
Fractional coordinates of all 4 atoms:
1 Sr 0.0000 0.0000 0.0000
2 Cr 0.5000 0.5000 0.0000
3 Tc 0.0000 0.5000 0.5000
4 Tc 0.5000 0.0000 0.5000

Calculated density ... 7.705 Mg/m³
Raw total energy ... -27.64 eV/cell
Total magnetization ... 3.232 μB per cell

=====

# 28
Entry from the Alexandria database: a relaxed SrCrTc2 crystal (PBE).

abc: 4.9425 4.9425 5.8249
angles: 104.21 104.21 37.48
Fractional coordinates of all 4 atoms:
1 Sr 0.0000 0.0000 0.0000
2 Cr 0.7939 0.7939 0.3852
3 Tc 0.2131 0.2131 0.6189
4 Tc 0.4930 0.4930 0.4958

Calculated density ... 6.664 Mg/m³
Raw total energy ... -29.50 eV/cell
Total magnetization ... 0.033 μB per cell

=====

# 29
Entry from the Alexandria database: a relaxed SrCrTc3 crystal (PBE).

abc: 4.6068 4.6068 4.6068
angles: 90.00 90.00 90.00
Fractional coordinates of all 5 atoms:
1 Sr 0.0000 0.0000 0.0000
2 Cr 0.5000 0.5000 0.5000
3 Tc 0.0000 0.5000 0.5000
4 Tc 0.5000 0.0000 0.5000
5 Tc 0.5000 0.5000 0.0000

Calculated density ... 7.365 Mg/m³
Raw total energy ... -37.65 eV/cell
Total magnetization ... 2.231 μB per cell

=====

# 30
Entry from the Alexandria database: a relaxed SrCr2Tc crystal (PBE).

abc: 8.7728 8.7728 8.7728
angles: 147.63 147.63 46.43
Fractional coordinates of all 8 atoms:
1 Sr 0.3750 0.6250 0.7500
2 Sr 0.6250 0.3750 0.2500
3 Cr 0.0000 0.0000 0.0000
4 Cr 0.0000 0.0000 0.5000
5 Cr 0.0000 0.5000 0.0000
6 Cr 0.5000 0.0000 0.5000
7 Tc 0.1250 0.8750 0.2500
8 Tc 0.8750 0.1250 0.7500

Calculated density ... 4.987 Mg/m³
Raw total energy ... -53.77 eV/cell
Total magnetization ... 6.826 μB per cell